No. 1
Here is a relaxed SrHf2Mo crystal from the Open Quantum Materials Database. Energies are from PBE.

a = 5.0628 Å, b = 5.0628 Å, c = 5.0628 Å
α = 60.00°, β = 60.00°, γ = 60.00°
Element x y z (fractional)
Sr  0.2500  0.2500  0.2500
Mo  0.0000  0.0000  0.0000
Hf  0.5000  0.5000  0.5000
Hf  0.7500  0.7500  0.7500

- E: -7.25 eV per atom

No. 2
Here is a relaxed SrHfMo crystal from the Open Quantum Materials Database. Energies are from PBE.

a = 4.8276 Å, b = 4.8276 Å, c = 4.8276 Å
α = 60.00°, β = 60.00°, γ = 60.00°
Element x y z (fractional)
Sr  0.7500  0.7500  0.7500
Mo  0.0000  0.0000  0.0000
Hf  0.2500  0.2500  0.2500

- E: -6.30 eV per atom
- Offset from the most stable computed form: 0.00 eV/f.u.

No. 3
Here is a relaxed HfTa2Mo crystal from the Open Quantum Materials Database. Energies are from PBE.

a = 4.6865 Å, b = 4.6865 Å, c = 4.6865 Å
α = 60.00°, β = 60.00°, γ = 60.00°
Element x y z (fractional)
Ta  0.2500  0.2500  0.2500
Ta  0.0000  0.0000  0.0000
Mo  0.7500  0.7500  0.7500
Hf  0.5000  0.5000  0.5000

- Energy relative to the elements: 32 meV/atom
- E: -11.09 eV per atom

No. 4
Here is a relaxed HfTcMo crystal from the Open Quantum Materials Database. Energies are from PBE.

a = 4.3859 Å, b = 4.3859 Å, c = 4.3859 Å
α = 60.00°, β = 60.00°, γ = 60.00°
Element x y z (fractional)
Mo  0.2500  0.2500  0.2500
Hf  0.0000  0.0000  0.0000
Tc  0.7500  0.7500  0.7500

- Energy relative to the elements: 1105 meV/atom
- E: -9.28 eV per atom
- Offset from the most stable computed form: 2.44 eV/f.u.

No. 5
Here is a relaxed HfTcMo crystal from the Open Quantum Materials Database. Energies are from PBE.

a = 4.3687 Å, b = 4.3687 Å, c = 4.3687 Å
α = 60.00°, β = 60.00°, γ = 60.00°
Element x y z (fractional)
Tc  0.2500  0.2500  0.2500
Hf  0.5000  0.5000  0.5000
Mo  0.0000  0.0000  0.0000

- Energy relative to the elements: 293 meV/atom
- E: -10.10 eV per atom
- Offset from the most stable computed form: 0.00 eV/f.u.

No. 6
Here is a relaxed Hf2Te2Mo crystal from the Open Quantum Materials Database. Energies are from PBE.

a = 7.4610 Å, b = 7.4610 Å, c = 7.4610 Å
α = 147.72°, β = 147.72°, γ = 46.29°
Element x y z (fractional)
Te  0.3936  0.3936  0.0000
Hf  0.2500  0.7500  0.5000
Te  0.6064  0.6064  0.0000
Hf  0.7500  0.2500  0.5000
Mo  0.0000  0.0000  0.0000

- E: -6.78 eV per atom
- Offset from the most stable computed form: 0.11 eV/f.u.

No. 7
Here is a relaxed HfTeMo crystal from the Open Quantum Materials Database. Energies are from PBE.

a = 4.5519 Å, b = 4.5519 Å, c = 4.5519 Å
α = 60.00°, β = 60.00°, γ = 60.00°
Element x y z (fractional)
Hf  0.2500  0.2500  0.2500
Te  0.7500  0.7500  0.7500
Mo  0.0000  0.0000  0.0000

- E: -7.70 eV per atom
- Offset from the most stable computed form: 0.00 eV/f.u.

No. 8
Here is a relaxed Hf2Te2Mo crystal from the Open Quantum Materials Database. Energies are from PBE.

a = 7.6512 Å, b = 7.6512 Å, c = 7.6512 Å
α = 149.23°, β = 149.23°, γ = 44.07°
Element x y z (fractional)
Hf  0.4019  0.4019  0.0000
Te  0.2500  0.7500  0.5000
Te  0.7500  0.2500  0.5000
Hf  0.5981  0.5981  0.0000
Mo  0.0000  0.0000  0.0000

- E: -6.81 eV per atom
- Offset from the most stable computed form: 0.00 eV/f.u.

No. 9
Here is a relaxed HfTe2Mo crystal from the Open Quantum Materials Database. Energies are from PBE.

a = 4.9774 Å, b = 4.9774 Å, c = 4.9774 Å
α = 60.00°, β = 60.00°, γ = 60.00°
Element x y z (fractional)
Te  0.0000  0.0000  0.0000
Te  0.2500  0.2500  0.2500
Mo  0.7500  0.7500  0.7500
Hf  0.5000  0.5000  0.5000

- E: -6.31 eV per atom

No. 10
Here is a relaxed HfTlMo crystal from the Open Quantum Materials Database. Energies are from PBE.

a = 4.6033 Å, b = 4.6033 Å, c = 4.6033 Å
α = 60.00°, β = 60.00°, γ = 60.00°
Element x y z (fractional)
Mo  0.7500  0.7500  0.7500
Hf  0.2500  0.2500  0.2500
Tl  0.0000  0.0000  0.0000

- E: -6.74 eV per atom

No. 11
Here is a relaxed HfTl2Mo crystal from the Open Quantum Materials Database. Energies are from PBE.

a = 4.9453 Å, b = 4.9453 Å, c = 4.9453 Å
α = 60.00°, β = 60.00°, γ = 60.00°
Element x y z (fractional)
Tl  0.7500  0.7500  0.7500
Hf  0.5000  0.5000  0.5000
Mo  0.2500  0.2500  0.2500
Tl  0.0000  0.0000  0.0000

- E: -5.62 eV per atom

No. 12
Here is a relaxed TmHfMo crystal from the Open Quantum Materials Database. Energies are from PBE.

a = 4.6568 Å, b = 4.6568 Å, c = 4.6568 Å
α = 60.00°, β = 60.00°, γ = 60.00°
Element x y z (fractional)
Hf  0.2500  0.2500  0.2500
Mo  0.7500  0.7500  0.7500
Tm  0.0000  0.0000  0.0000

- Energy relative to the elements: 1392 meV/atom
- E: -7.03 eV per atom

Total moment / μB/cell: 0.548; 0.026; 0.007; 1.519; 0.000; 3.750; 0.893; 0.011; 0.012; 0.203; 0.280; 0.629
Volume / Å³/atom: 22.94; 26.52; 18.20; 19.89; 19.65; 23.60; 22.23; 23.37; 21.80; 22.99; 21.38; 23.80